1.
DFT (PBE+U) results for crystalline CaPa2MnO8 at its relaxed geometry.

```
CaPa2MnO8
1.0
4.872 0.018 -0.003
0.061 4.876 -0.005
0.006 0.010 7.035
Ca Pa Mn O
1 2 1 8
direct
0.000 0.000 0.500
0.500 0.500 0.756
0.500 0.500 0.244
0.000 0.000 0.000
0.191 0.808 0.210
0.711 0.711 0.000
0.809 0.191 0.210
0.809 0.192 0.790
0.289 0.289 0.000
0.191 0.809 0.790
0.679 0.680 0.500
0.321 0.320 0.500
```

size of the total moment: 0.25 μB/atom
VASP energy: -8.571 eV/atom

2.
DFT (PBE+U) results for crystalline CaMn2PbO6 at its relaxed geometry.

```
CaMn2PbO6
1.0
-4.033 3.297 -1.711
-3.141 -1.483 -4.250
-5.238 -1.407 0.812
Ca Mn Pb O
1 2 1 6
direct
0.766 0.753 0.702
0.519 0.514 0.454
0.014 0.018 0.949
0.267 0.284 0.201
0.714 0.315 0.153
0.267 0.856 0.201
0.820 0.713 0.251
0.316 0.715 0.753
0.765 0.176 0.703
0.216 0.317 0.649
```

size of the total moment: 0.64 μB/atom
VASP energy: -6.683 eV/atom